# 1
Ca3ZnBr2F6 | PBE | relaxed

abc: 12.0423 7.0318 5.6971
angles: 90.00 101.46 90.00
Closest atoms and distances in Å follow each position.
Space group C2/m (No. 12)
Asymmetric unit:
Ca (0.0000, 0.0000, 0.0000) x2  4 F 2.39
Ca (0.2500, 0.2500, 0.5000) x4  4 F 2.27-2.30
Zn (0.0000, 0.5000, 0.5000) x2  2 F 1.92
Br (0.2138, 0.0000, 0.8658) x4  3 Ca 2.83, 1 F 2.97
F (0.0655, 0.2375, 0.2944) x8  2 Ca 2.30-2.39, 1 Zn 2.40
F (0.1597, 0.5000, 0.6299) x4  1 Zn 1.92

***

# 2
CaFe2Br | PBE | relaxed

abc: 5.3646 9.9028 3.3148
angles: 90.00 90.00 90.00
Closest atoms and distances in Å follow each position.
Space group Cmmm (No. 65)
Asymmetric unit:
Ca (0.0000, 0.0000, 0.0000) x2  2 Br 2.68
Fe (0.2500, 0.2500, 0.5000) x4  2 Fe 2.68
Br (0.0000, 0.5000, 0.0000) x2  2 Ca 2.68

Properties
energy relative to the lowest polymorph listed for this composition: 565.6 meV per atom

***

# 3
Ca2FeBr2 | PBE | relaxed

abc: 5.8770 5.8770 7.9327
angles: 90.00 90.00 90.00
Closest atoms and distances in Å follow each position.
Space group I4/mmm (No. 139)
Asymmetric unit:
Ca (0.0000, 0.5000, 0.2500) x4  4 Br 2.96
Fe (0.0000, 0.0000, 0.0000) x2  2 Br 2.31
Br (0.0000, 0.0000, 0.2913) x4  1 Fe 2.31

Properties
energy relative to the lowest polymorph listed for this composition: 66.4 meV per atom

***

# 4
Ca2FeBr2 | PBE | relaxed

abc: 8.3801 8.3801 3.6040
angles: 90.00 90.00 90.00
Closest atoms and distances in Å follow each position.
Space group P4/mbm (No. 127)
Asymmetric unit:
Ca (0.1737, 0.3263, 0.0000) x4  6 Br 2.91-3.16
Fe (0.0000, 0.0000, 0.5000) x2  4 Br 3.27, 8 Ca 3.58, 2 Fe 3.60
Br (0.1339, 0.6339, 0.5000) x4  6 Ca 2.91-3.16, 1 Br 3.17

Properties
energy relative to the lowest polymorph listed for this composition: 0.0 meV per atom

***

# 5
CaFe2Br | PBE | relaxed

abc: 3.3791 4.2996 5.5534
angles: 90.00 90.00 90.00
Closest atoms and distances in Å follow each position.
Space group Pmmm (No. 47)
Asymmetric unit:
Ca (0.0000, 0.0000, 0.0000) x1  4 Br 2.73
Fe (0.0000, 0.5000, 0.5000) x1  4 Fe 2.73
Fe (0.5000, 0.0000, 0.5000) x1  4 Fe 2.73
Br (0.5000, 0.5000, 0.0000) x1  4 Ca 2.73

Properties
energy relative to the lowest polymorph listed for this composition: 319.0 meV per atom

***

# 6
CaFe2Br | PBE | relaxed

abc: 3.3576 3.3153 7.4713
angles: 90.00 102.88 90.00
Closest atoms and distances in Å follow each position.
Space group Pm (No. 6)
Asymmetric unit:
Ca (0.0000, 0.0000, 0.0000) x1  5 Fe 2.96-3.16, 4 Br 2.98
Fe (0.3571, 0.5000, 0.7111) x1  4 Fe 2.51
Fe (0.7989, 0.0000, 0.5940) x1  4 Fe 2.51
Br (0.6245, 0.5000, 0.2504) x1  4 Ca 2.98, 2 Fe 3.00, 2 Br 3.32

Properties
energy relative to the lowest polymorph listed for this composition: 0.0 meV per atom

***

| no. | formation energy from raw total energies (eV per atom) |
| --- | --- |
| 1 | -2.89 |
| 2 | 0.53 |
| 3 | -0.41 |
| 4 | -0.48 |
| 5 | 0.28 |
| 6 | -0.04 |